Below is an optimized crystal structure of VCoH2, with properties calculated at the PBE level.

Calculated values
- final energy (eV per atom) = -5.876

a = 6.0151 Å, b = 6.0151 Å, c = 4.5988 Å
α = 104.92°, β = 104.92°, γ = 126.81°
Sites, in units of the cell vectors:
V1 0.0618 0.9382 0.7500
V2 0.1903 0.8097 0.2500
V3 0.8097 0.1903 0.7500
V4 0.9382 0.0618 0.2500
Co1 0.3099 0.6901 0.7500
Co2 0.4340 0.5660 0.2500
Co3 0.5660 0.4340 0.7500
Co4 0.6901 0.3099 0.2500
H1 0.0754 0.4460 0.2620
H2 0.2040 0.3302 0.7639
H3 0.3302 0.2040 0.2639
H4 0.4460 0.0754 0.7620
H5 0.5540 0.9246 0.2380
H6 0.6698 0.7960 0.7361
H7 0.7960 0.6698 0.2361
H8 0.9246 0.5540 0.7380


Below is an optimized crystal structure of V2Co2H7, with properties calculated at the PBE level.

Calculated values
- final energy (eV per atom) = -5.122

a = 4.1447 Å, b = 4.1447 Å, c = 3.8934 Å
α = 90.00°, β = 90.00°, γ = 95.21°
Sites, in units of the cell vectors:
V1 0.2182 0.2182 0.0000
V2 0.7818 0.7818 0.0000
Co1 0.2718 0.7282 0.5000
Co2 0.7282 0.2718 0.5000
H1 0.0000 0.0000 0.5000
H2 0.0000 0.5000 0.2573
H3 0.0000 0.5000 0.7427
H4 0.5000 0.0000 0.2573
H5 0.5000 0.0000 0.7427
H6 0.5000 0.5000 0.2596
H7 0.5000 0.5000 0.7404